(1)
SrEuCuHg: relaxed, PBE.

## Properties
Spin magnetization in μB/f.u.: 7.266
Space group: F-43m (216)
Formation energy in meV/atom: -244.9

Structure (POSCAR):
```
SrEuCuHg
1.0
5.446 0.000 0.000
2.723 4.717 0.000
2.723 1.572 4.447
Eu Sr Hg Cu
1 1 1 1
Direct
0.750 0.750 0.750
0.250 0.250 0.250
0.000 0.000 0.000
0.500 0.500 0.500
```

=====

(2)
EuThCuHg: relaxed, PBE.

## Properties
Spin magnetization in μB/f.u.: 7.096
Space group: F-43m (216)
Formation energy in meV/atom: -131.4

Structure (POSCAR):
```
EuThCuHg
1.0
-1.571 -4.440 2.408
2.561 -1.728 4.294
-2.326 0.246 4.744
Eu Cu Hg Th
1 1 1 1
Direct
0.500 0.500 0.500
0.250 0.250 0.250
0.750 0.750 0.750
0.000 0.000 0.000
```

=====

(3)
EuTlCuHg: relaxed, PBE.

## Properties
Spin magnetization in μB/f.u.: 7.015
Space group: F-43m (216)
Formation energy in meV/atom: -151.4

Structure (POSCAR):
```
EuTlCuHg
1.0
5.166 0.000 0.000
2.583 4.474 0.000
2.583 1.491 4.218
Eu Tl Hg Cu
1 1 1 1
Direct
0.000 0.000 0.000
0.500 0.500 0.500
0.750 0.750 0.750
0.250 0.250 0.250
```